PrSm2PaSb4: optimized geometry, PBE-GGA.

## Properties
- formation energy (no corrections) (eV/atom) = -0.996
- volume (Å³/atom) = 31.45
- SG = No. 10

extended XYZ file:
```
8
Lattice="7.723 0.000 0.000 0.000 4.459 0.000 -2.562 0.000 7.305" Properties=species:S:1:pos:R:3 pbc="T T T"
Pr 0.000 0.000 0.000
Sm 2.580 0.000 3.653
Sm 3.861 2.229 0.000
Pa -1.281 2.229 3.653
Sb 0.003 0.000 5.431
Sb 1.272 2.229 1.880
Sb 3.889 2.229 5.426
Sb 5.157 0.000 1.874
```



PrSm2PaSb5: optimized geometry, PBE-GGA.

## Properties
- formation energy (no corrections) (eV/atom) = -0.176
- volume (Å³/atom) = 39.24
- SG = No. 123

extended XYZ file:
```
9
Lattice="5.455 0.000 0.000 0.000 5.455 0.000 0.000 0.000 11.867" Properties=species:S:1:pos:R:3 pbc="T T T"
Pr 0.000 0.000 0.000
Sm 2.728 2.728 3.183
Sm 2.728 2.728 8.684
Pa 0.000 0.000 5.934
Sb 0.000 0.000 2.974
Sb 0.000 0.000 8.893
Sb 0.000 2.728 5.934
Sb 2.728 0.000 5.934
Sb 2.728 2.728 0.000
```



PrSmPa2Sb4: optimized geometry, PBE-GGA.

## Properties
- formation energy (no corrections) (eV/atom) = -0.801
- volume (Å³/atom) = 30.97
- SG = No. 10

extended XYZ file:
```
8
Lattice="7.667 0.000 0.000 0.000 4.428 0.000 -2.557 0.000 7.298" Properties=species:S:1:pos:R:3 pbc="T T T"
Pr 0.000 0.000 0.000
Sm 3.834 2.214 0.000
Pa -1.278 2.214 3.649
Pa 2.555 0.000 3.649
Sb 0.018 0.000 5.418
Sb 1.297 2.214 1.894
Sb 3.814 2.214 5.404
Sb 5.092 0.000 1.880
```



Sr3Pr2PaSb6: optimized geometry, PBE-GGA.

## Properties
- formation energy (no corrections) (eV/atom) = -0.955
- volume (Å³/atom) = 35.11
- SG = No. 12

extended XYZ file:
```
12
Lattice="3.995 -6.932 0.000 3.995 6.932 0.000 -2.680 0.000 7.608" Properties=species:S:1:pos:R:3 pbc="T T T"
Sr 0.000 0.000 0.000
Sr 3.995 2.381 0.000
Sr 3.995 -2.381 0.000
Pr 2.655 4.630 3.804
Pr 2.655 -4.630 3.804
Pa 2.655 0.000 3.804
Sb 1.383 2.219 2.077
Sb 0.104 0.000 5.549
Sb 1.383 -2.219 2.077
Sb 3.927 2.219 5.531
Sb 5.206 0.000 2.059
Sb 3.927 -2.219 5.531
```



TbPrPa2Sb4: optimized geometry, PBE-GGA.

## Properties
- formation energy (no corrections) (eV/atom) = -0.788
- volume (Å³/atom) = 30.64
- SG = No. 10

extended XYZ file:
```
8
Lattice="7.640 0.000 0.000 0.000 4.412 0.000 -2.548 0.000 7.272" Properties=species:S:1:pos:R:3 pbc="T T T"
Tb 0.000 0.000 0.000
Pr 3.820 2.206 0.000
Pa -1.274 2.206 3.636
Pa 2.546 0.000 3.636
Sb -0.036 0.000 5.399
Sb 1.239 2.206 1.847
Sb 3.854 2.206 5.425
Sb 5.128 0.000 1.873
```



TbPr2PaSb4: optimized geometry, PBE-GGA.

## Properties
- formation energy (no corrections) (eV/atom) = -0.997
- volume (Å³/atom) = 31.54
- SG = No. 10

extended XYZ file:
```
8
Lattice="7.719 0.000 0.000 0.000 4.465 0.000 -2.573 0.000 7.321" Properties=species:S:1:pos:R:3 pbc="T T T"
Tb 0.000 0.000 0.000
Pr -1.286 2.233 3.660
Pr 2.573 0.000 3.660
Pa 3.860 2.233 0.000
Sb 1.306 2.233 1.742
Sb 0.009 0.000 5.579
Sb 5.137 0.000 1.742
Sb 3.840 2.233 5.579
```